Here is a geometry-optimized Cs2MnTl2F6 structure from Alexandria via LeMat-Bulk. Energies are from GGA+U.

a b c (Å): 7.2520 12.2236 6.4530
angles (deg): 90.00 103.83 90.00
Space group C2/m (No. 12)
Symmetry-distinct sites (fractional):
Cs (0.0000, 0.1584, 0.0000) x4
Mn (0.0000, 0.5000, 0.0000) x2
Tl (0.0000, 0.3472, 0.5000) x4
F (0.1692, 0.3728, 0.1799) x8
F (0.1697, 0.5000, 0.7492) x4

Values from the calculation:
N(E_F) = 0.000 states/eV/cell
Crystal system = monoclinic
Magnetic moment = 5.000 μB per formula unit
E = -4.616 eV/atom